Computed, not measured: crystalline CaZr2Sb at its relaxed geometry at the PBE level of DFT.

abc: 5.7924 5.7924 5.7924
angles: 134.59 134.59 66.17
Closest atoms and distances in Å follow each position.
Atoms (fractional coordinates):
Ca1 0.0000 0.0000 0.0000  8 Zr 3.16-3.30, 4 Sb 3.30
Zr1 0.5000 0.5000 0.0000  4 Ca 3.16, 4 Zr 3.30, 4 Sb 3.30
Zr2 0.7500 0.2500 0.5000  4 Sb 3.16, 4 Zr 3.30, 4 Ca 3.30
Sb1 0.2500 0.7500 0.5000  8 Zr 3.16-3.30, 4 Ca 3.30

Computed properties:
ΔE_f (raw), kJ per mole of atoms: -13
N(E_F), states/eV per atom: 1.29